No. 1
Computed, not measured: a relaxed structure of Pr2HoTm6 at the PBE level of DFT.

Geometry as POSCAR:
```
Pr2HoTm6
1.0
9.015 0.412 0.399
3.529 8.113 -0.264
3.529 -0.001 8.117
Pr Ho Tm
4 2 12
direct
0.065 0.599 0.784 Pr
0.435 0.216 0.401 Pr
0.935 0.401 0.216 Pr
0.565 0.784 0.599 Pr
0.250 0.172 0.828 Ho
0.750 0.828 0.172 Ho
0.460 0.597 0.334 Tm
0.040 0.666 0.403 Tm
0.540 0.403 0.666 Tm
0.960 0.334 0.597 Tm
0.860 0.062 0.390 Tm
0.640 0.610 0.938 Tm
0.140 0.938 0.610 Tm
0.360 0.390 0.062 Tm
0.185 0.812 0.994 Tm
0.315 0.006 0.188 Tm
0.815 0.188 0.006 Tm
0.685 0.994 0.812 Tm
```

**Calculated volume**: 285 Å³/f.u.
**Crystal system**: monoclinic
**Calculated formation energy**: 64 kJ/mol of formula units
**D(E_F)**: 1.338 states/eV per atom
**Space-group type**: C2/c (15)
**Energy relative to the lowest polymorph listed for this composition**: 0.00 eV per formula unit

---

No. 2
Computed, not measured: a relaxed structure of Pr6HoTm5 at the PBE level of DFT.

Geometry as POSCAR:
```
Pr6HoTm5
1.0
-2.210 2.239 4.079
2.460 -7.867 5.645
6.573 6.184 -3.084
Pr Tm Ho
6 5 1
direct
0.833 0.583 0.667 Pr
0.833 0.084 0.667 Pr
0.500 0.749 0.000 Pr
0.500 0.251 0.000 Pr
0.167 0.916 0.333 Pr
0.167 0.417 0.333 Pr
0.667 0.167 0.334 Tm
0.333 0.333 0.667 Tm
0.000 0.500 0.000 Tm
0.667 0.667 0.333 Tm
0.333 0.833 0.666 Tm
0.000 0.000 0.000 Ho
```

**Calculated volume**: 397 Å³/f.u.
**Crystal system**: orthorhombic
**Calculated formation energy**: 23 kJ/mol of formula units
**D(E_F)**: 1.317 states/eV per atom
**Space-group type**: Immm (71)

---

No. 3
Computed, not measured: a relaxed structure of Pr2Ho5Tm12 at the PBE level of DFT.

Geometry as POSCAR:
```
Pr2Ho5Tm12
1.0
9.142 0.000 0.000
-4.571 11.280 -1.570
0.000 -5.247 6.583
Pr Ho Tm
2 5 12
direct
0.689 0.000 0.000 Pr
0.311 0.000 0.000 Pr
0.303 0.607 0.613 Ho
0.234 0.468 0.889 Ho
0.000 0.000 0.500 Ho
0.766 0.532 0.111 Ho
0.697 0.393 0.387 Ho
0.096 0.192 0.308 Tm
0.023 0.684 0.931 Tm
0.661 0.684 0.931 Tm
0.182 0.747 0.396 Tm
0.565 0.747 0.396 Tm
0.556 0.112 0.785 Tm
0.444 0.888 0.215 Tm
0.818 0.253 0.604 Tm
0.435 0.253 0.604 Tm
0.977 0.316 0.069 Tm
0.339 0.316 0.069 Tm
0.904 0.808 0.692 Tm
```

**Calculated volume**: 604 Å³/f.u.
**Crystal system**: monoclinic
**Calculated formation energy**: 248 kJ/mol of formula units
**D(E_F)**: 1.388 states/eV per atom
**Space-group type**: C2/m (12)

---

No. 4
Computed, not measured: a relaxed structure of Pr9Ho2Tm at the PBE level of DFT.

Geometry as POSCAR:
```
Pr9Ho2Tm
1.0
-4.047 2.231 -2.334
-3.225 -2.601 3.105
0.497 11.646 10.269
Pr Ho Tm
9 2 1
direct
0.500 0.500 0.000 Pr
0.500 0.500 0.333 Pr
0.500 0.500 0.667 Pr
0.500 0.000 0.166 Pr
0.500 0.000 0.500 Pr
0.500 0.000 0.834 Pr
0.000 0.500 0.166 Pr
0.000 0.500 0.500 Pr
0.000 0.500 0.834 Pr
0.000 0.000 0.333 Ho
0.000 0.000 0.667 Ho
0.000 0.000 0.000 Tm
```

**Calculated volume**: 416 Å³/f.u.
**Crystal system**: tetragonal
**Calculated formation energy**: 16 kJ/mol of formula units
**D(E_F)**: 1.603 states/eV per atom
**Space-group type**: P4/mmm (123)

---

No. 5
Computed, not measured: a relaxed structure of Pr3Ho5Tm at the PBE level of DFT.

Geometry as POSCAR:
```
Pr3Ho5Tm
1.0
-6.683 -1.973 -6.530
1.512 -8.936 -3.011
-7.577 -8.909 0.018
Pr Ho Tm
6 10 2
direct
0.701 0.701 0.808 Pr
0.661 0.661 0.364 Pr
0.000 0.000 0.000 Pr
0.000 0.000 0.500 Pr
0.299 0.299 0.192 Pr
0.339 0.339 0.636 Pr
0.842 0.342 0.246 Ho
0.258 0.742 0.000 Ho
0.812 0.812 0.967 Ho
0.490 0.490 0.226 Ho
0.510 0.510 0.774 Ho
0.188 0.188 0.033 Ho
0.342 0.842 0.246 Ho
0.742 0.258 0.000 Ho
0.158 0.658 0.754 Ho
0.658 0.158 0.754 Ho
0.147 0.147 0.605 Tm
0.853 0.853 0.395 Tm
```

**Calculated volume**: 333 Å³/f.u.
**Crystal system**: monoclinic
**Calculated formation energy**: 461 kJ/mol of formula units
**D(E_F)**: 1.398 states/eV per atom
**Space-group type**: C2/m (12)

---

No. 6
Computed, not measured: a relaxed structure of Pr6Ho5Tm at the PBE level of DFT.

Geometry as POSCAR:
```
Pr6Ho5Tm
1.0
0.097 4.169 -11.078
-6.057 -0.735 -1.518
-4.104 4.632 1.113
Pr Ho Tm
6 5 1
direct
0.750 0.084 0.333 Pr
0.250 0.583 0.333 Pr
0.250 0.250 0.000 Pr
0.750 0.750 0.000 Pr
0.750 0.417 0.667 Pr
0.250 0.916 0.667 Pr
0.500 0.167 0.667 Ho
0.000 0.333 0.333 Ho
0.500 0.500 0.000 Ho
0.000 0.667 0.667 Ho
0.500 0.833 0.333 Ho
0.000 0.000 0.000 Tm
```

**Calculated volume**: 399 Å³/f.u.
**Crystal system**: monoclinic
**Calculated formation energy**: 15 kJ/mol of formula units
**D(E_F)**: 1.031 states/eV per atom
**Space-group type**: C2/m (12)
**Energy relative to the lowest polymorph listed for this composition**: 0.00 eV per formula unit

---

No. 7
Computed, not measured: a relaxed structure of Pr2Ho4Tm3 at the PBE level of DFT.

Geometry as POSCAR:
```
Pr2Ho4Tm3
1.0
5.796 1.632 1.169
2.342 10.948 0.700
2.342 4.191 10.139
Pr Ho Tm
4 8 6
direct
0.423 0.232 0.524 Pr
0.077 0.476 0.768 Pr
0.577 0.768 0.476 Pr
0.923 0.524 0.232 Pr
0.420 0.907 0.187 Ho
0.080 0.813 0.093 Ho
0.580 0.093 0.813 Ho
0.920 0.187 0.907 Ho
0.085 0.145 0.422 Ho
0.415 0.578 0.855 Ho
0.915 0.855 0.578 Ho
0.585 0.422 0.145 Ho
0.766 0.067 0.263 Tm
0.734 0.737 0.933 Tm
0.234 0.933 0.737 Tm
0.266 0.263 0.067 Tm
0.250 0.599 0.401 Tm
0.750 0.401 0.599 Tm
```

**Calculated volume**: 286 Å³/f.u.
**Crystal system**: monoclinic
**Calculated formation energy**: 82 kJ/mol of formula units
**D(E_F)**: 1.329 states/eV per atom
**Space-group type**: C2/c (15)

---

No. 8
Computed, not measured: a relaxed structure of Pr2Ho4Tm at the PBE level of DFT.

Geometry as POSCAR:
```
Pr2Ho4Tm
1.0
-4.251 5.196 1.082
-2.181 -6.370 -0.948
3.517 -0.389 5.807
Pr Ho Tm
2 4 1
direct
0.250 0.750 0.500 Pr
0.750 0.250 0.500 Pr
0.199 0.199 0.398 Ho
0.801 0.199 0.000 Ho
0.199 0.801 0.000 Ho
0.801 0.801 0.602 Ho
0.500 0.500 0.000 Tm
```

**Calculated volume**: 232 Å³/f.u.
**Crystal system**: tetragonal
**Calculated formation energy**: 183 kJ/mol of formula units
**D(E_F)**: 1.721 states/eV per atom
**Space-group type**: I4/mmm (139)
**Energy relative to the lowest polymorph listed for this composition**: 1.14 eV per formula unit